Material: NaGa3Pt3
Method: DFT, PBE
State: optimized geometry

It has space group R-3 (No. 148, hexagonal axes), with a = 6.9246 Å, b = 6.9246 Å, c = 17.3872 Å, α = 90.00°, β = 90.00° and γ = 120.00°. The asymmetric unit holds Na at (0.0000, 0.0000, 0.1607), Ga at (0.0210, 0.4164, 0.3833) and Pt at (0.0061, 0.2475, 0.5700).

The crystal system is trigonal. The formation energy is -3.46 eV per formula unit. Its magnetization is 0.0000 μB/atom. The calculation puts the volume at 120 Å³/f.u. As for the relative energy among the computed polymorphs: 0 meV per atom. The calculation puts the calculated total energy at -191.920 eV for the cell shown.

=====

Material: Na2Ga9Pt6
Method: DFT, PBE
State: optimized geometry

It has space group P6/mmm (No. 191), with a = 5.7866 Å, b = 5.7866 Å, c = 11.7192 Å, α = 90.00°, β = 90.00° and γ = 120.00°. The asymmetric unit holds Na at (0.0000, 0.0000, 0.1674), Ga at (0.0000, 0.5000, 0.0000), Ga at (0.0000, 0.5000, 0.3365), Pt at (0.3333, 0.6667, 0.1692) and Pt at (0.3333, 0.6667, 0.5000).

The crystal system is hexagonal. The formation energy is -6.84 eV per formula unit. Its magnetization is 0.0000 μB/atom. The calculation puts the volume at 340 Å³/f.u. The calculation puts the calculated total energy at -72.960 eV for the cell shown.

=====

Material: NaGa6Pt3
Method: DFT, PBE
State: optimized geometry

It has space group P2_1/m (No. 11), with a = 8.149 Å, b = 4.283 Å, c = 10.053 Å, α = 90.00°, β = 97.00° and γ = 90.00°. The asymmetric unit holds Na at (0.066, 0.250, 0.281), Ga at (0.112, 0.250, 0.591), Ga at (0.119, 0.750, 0.011), Ga at (0.290, 0.750, 0.255), Ga at (0.293, 0.750, 0.759), Ga at (0.421, 0.250, 0.426), Ga at (0.459, 0.250, 0.911), Pt at (0.151, 0.250, 0.863), Pt at (0.246, 0.750, 0.501) and Pt at (0.392, 0.250, 0.154).

The crystal system is monoclinic. The formation energy is -4.95 eV per formula unit. Its magnetization is 0.0000 μB/atom. The calculation puts the volume at 174 Å³/f.u. The calculation puts the calculated total energy at -85.097 eV for the cell shown.

=====

Material: NaGaPt3
Method: DFT, PBE
State: optimized geometry

It has space group Pm-3m (No. 221), with a = 4.701 Å, b = 4.701 Å, c = 4.701 Å, α = 90.00°, β = 90.00° and γ = 90.00°. The asymmetric unit holds Na at (0.000, 0.000, 0.000), Ga at (0.500, 0.500, 0.500) and Pt at (0.000, 0.500, 0.500).

The crystal system is cubic. The formation energy is 0.96 eV per formula unit. Its magnetization is 0.0000 μB/atom. The calculation puts the volume at 104 Å³/f.u. As for the relative energy among the computed polymorphs: 433 meV per atom. The calculation puts the calculated total energy at -21.511 eV for the cell shown.

=====

Material: NaGa2Pt
Method: DFT, PBE
State: optimized geometry

It has space group I-42d (No. 122), with a = 5.160 Å, b = 5.160 Å, c = 16.122 Å, α = 90.00°, β = 90.00° and γ = 90.00°. The asymmetric unit holds Na at (0.000, 0.000, 0.000), Ga at (0.070, 0.250, 0.625) and Pt at (0.000, 0.000, 0.500).

The crystal system is tetragonal. The formation energy is -0.75 eV per formula unit. Its magnetization is 0.0000 μB/atom. The calculation puts the volume at 107 Å³/f.u. The calculation puts the calculated total energy at -56.671 eV for the cell shown.

=====

Material: NaGa2Pt
Method: DFT, PBE
State: optimized geometry

It has space group R3m (No. 160, hexagonal axes), with a = 4.2750 Å, b = 4.2750 Å, c = 16.0476 Å, α = 90.00°, β = 90.00° and γ = 120.00°. The asymmetric unit holds Na at (0.0000, 0.0000, 0.0000), Ga at (0.0000, 0.0000, 0.5528), Ga at (0.0000, 0.0000, 0.7966) and Pt at (0.0000, 0.0000, 0.1842).

The crystal system is trigonal. The formation energy is -1.78 eV per formula unit. Its magnetization is 0.0000 μB/atom. The calculation puts the volume at 85 Å³/f.u. The calculation puts the calculated total energy at -45.578 eV for the cell shown.

=====

Material: NaGa2Pt
Method: DFT, PBE
State: optimized geometry

It has space group Pnma (No. 62), with a = 15.262 Å, b = 7.091 Å, c = 5.577 Å, α = 90.00°, β = 90.00° and γ = 90.00°. The asymmetric unit holds Na at (0.106, 0.250, 0.244), Na at (0.139, 0.750, 0.470), Ga at (0.038, 0.054, 0.738), Ga at (0.210, 0.551, 0.958), Pt at (0.069, 0.750, 0.985) and Pt at (0.187, 0.250, 0.719).

The crystal system is orthorhombic. The formation energy is -1.91 eV per formula unit. Its magnetization is 0.0000 μB/atom. The calculation puts the volume at 75 Å³/f.u. The calculation puts the calculated total energy at -122.611 eV for the cell shown.

=====

Material: NaGa2Pt
Method: DFT, PBE
State: optimized geometry

It has space group R-3m (No. 166, hexagonal axes), with a = 3.7451 Å, b = 3.7451 Å, c = 25.8836 Å, α = 90.00°, β = 90.00° and γ = 120.00°. The asymmetric unit holds Na at (0.0000, 0.0000, 0.0000), Ga at (0.0000, 0.0000, 0.1143) and Pt at (0.0000, 0.0000, 0.5000).

The crystal system is trigonal. The formation energy is -0.65 eV per formula unit. Its magnetization is 0.0000 μB/atom. The calculation puts the volume at 105 Å³/f.u. The calculation puts the calculated total energy at -42.199 eV for the cell shown.